First-principles (PBE) data for a geometry-optimized YBO2F structure, as listed in Alexandria.

Results
**Formation energy without anion corrections**: -1.775 eV per atom
**Magnetic moment**: 0.000 μB/atom
**SG**: P4/mmm, No. 123
**DOS(E_F)**: 0.162 states/eV/atom

a = 3.4947 Å, b = 3.4947 Å, c = 3.8936 Å
α = 90.00°, β = 90.00°, γ = 90.00°
Closest atoms and distances in Å follow each position.
Atoms (fractional coordinates):
1 Y 0.0000 0.0000 0.0000  4 F 2.47, 8 O 2.62
2 B 0.5000 0.5000 0.5000  4 O 1.75, 2 F 1.95
3 O 0.0000 0.5000 0.5000  2 B 1.75
4 O 0.5000 0.0000 0.5000  2 B 1.75
5 F 0.5000 0.5000 0.0000  2 B 1.95

First-principles (PBE) data for a geometry-optimized Ba2ScTc structure, as listed in Alexandria.

Results
**Energy above the lowest structure with this stoichiometry**: 537 meV per atom
**Magnetic moment**: 0.178 μB/atom
**SG**: P4/mmm, No. 123
**Calculated formation energy**: 0.883 eV per atom
**DOS(E_F)**: 1.162 states/eV/atom

a = 4.7562 Å, b = 4.7562 Å, c = 5.3272 Å
α = 90.00°, β = 90.00°, γ = 90.00°
Closest atoms and distances in Å follow each position.
Atoms (fractional coordinates):
1 Ba 0.0000 0.5000 0.0000  4 Ba 3.36, 4 Tc 3.57, 4 Sc 3.57
2 Ba 0.5000 0.0000 0.0000  4 Ba 3.36, 4 Tc 3.57, 4 Sc 3.57
3 Sc 0.0000 0.0000 0.5000  4 Tc 3.36, 8 Ba 3.57
4 Tc 0.5000 0.5000 0.5000  4 Sc 3.36, 8 Ba 3.57

First-principles (PBE) data for a geometry-optimized La2AlNiS5 structure, as listed in Alexandria.

Results
**Formation energy without anion corrections**: -1.493 eV per atom
**Magnetic moment**: 0.112 μB/atom
**SG**: Cmc2_1, No. 36
**DOS(E_F)**: 0.430 states/eV/atom

a = 8.7299 Å, b = 8.7299 Å, c = 11.5803 Å
α = 90.00°, β = 90.00°, γ = 154.19°
Closest atoms and distances in Å follow each position.
Atoms (fractional coordinates):
1 La 0.1179 0.8821 0.5000  8 S 2.94-3.12
2 La 0.1345 0.8655 0.1186  7 S 2.89-3.12, 1 Ni 3.18
3 La 0.8655 0.1345 0.6186  7 S 2.89-3.12, 1 Ni 3.18
4 La 0.8821 0.1179 0.0000  8 S 2.94-3.12
5 Al 0.4261 0.5739 0.2711  4 S 2.25-2.32
6 Al 0.5739 0.4261 0.7711  4 S 2.25-2.32
7 Ni 0.2399 0.7601 0.8920  3 S 2.21
8 Ni 0.7601 0.2399 0.3920  3 S 2.21
9 S 0.0428 0.9572 0.8702  2 Al 2.32
10 S 0.2933 0.7067 0.4674  2 Ni 2.21
11 S 0.3151 0.6849 0.1655  1 Al 2.25
12 S 0.3579 0.6421 0.8130  1 Ni 2.21
13 S 0.4991 0.5009 0.6045  1 Al 2.31
14 S 0.5009 0.4991 0.1045  1 Al 2.31
15 S 0.6421 0.3579 0.3130  1 Ni 2.21
16 S 0.6849 0.3151 0.6655  1 Al 2.25
17 S 0.7067 0.2933 0.9674  2 Ni 2.21
18 S 0.9572 0.0428 0.3702  2 Al 2.32

So what do the calculations give for V? Going down the list: 47.6 120.5 384.2 Å³/cell.